[1]
# TaRuI3

A relaxed TaRuI3 crystal (PBE-GGA, Alexandria).

Cell lengths 5.228, 5.228, 5.228 Å; angles 90.00, 90.00, 90.00 degrees
Atoms (fractional coordinates):
1 I 0.000 0.500 0.000
2 I 0.000 0.000 0.500
3 I 0.500 0.000 0.000
4 Ru 0.000 0.000 0.000
5 Ta 0.500 0.500 0.500

## Properties
formation energy without anion corrections = 1.390 eV/atom
theoretical density = 7.7 g/cm3
total magnetic moment = 0.05 μB/cell
Fermi-level density of states = 9.4 states/eV/f.u.

[2]
# SiAu

A relaxed SiAu crystal (PBE-GGA, Alexandria).

Cell lengths 3.841, 4.044, 5.417 Å; angles 68.08, 90.00, 90.00 degrees
Atoms (fractional coordinates):
1 Au 0.250 0.795 0.409
2 Au 0.750 0.205 0.591
3 Si 0.250 0.431 0.137
4 Si 0.750 0.569 0.863

## Properties
formation energy without anion corrections = 0.054 eV/atom
theoretical density = 9.6 g/cm3
total magnetic moment = 0.00 μB/cell
Fermi-level density of states = 0.9 states/eV/f.u.

[3]
# AcLa6Pm2Tm

A relaxed AcLa6Pm2Tm crystal (PBE-GGA, Alexandria).

Cell lengths 10.026, 9.145, 9.145 Å; angles 117.66, 93.82, 93.82 degrees
Atoms (fractional coordinates):
1 Ac 0.250 0.979 0.021
2 Ac 0.750 0.021 0.979
3 La 0.049 0.119 0.748
4 La 0.451 0.252 0.881
5 La 0.951 0.881 0.252
6 La 0.549 0.748 0.119
7 La 0.310 0.994 0.443
8 La 0.190 0.557 0.006
9 La 0.690 0.006 0.557
10 La 0.810 0.443 0.994
11 La 0.119 0.704 0.496
12 La 0.381 0.504 0.296
13 La 0.881 0.296 0.504
14 La 0.619 0.496 0.704
15 Pm 0.456 0.799 0.694
16 Pm 0.044 0.306 0.201
17 Pm 0.544 0.201 0.306
18 Pm 0.956 0.694 0.799
19 Tm 0.250 0.411 0.589
20 Tm 0.750 0.589 0.411

## Properties
theoretical density = 6.9 g/cm3
total magnetic moment = 0.00 μB/cell
Fermi-level density of states = 15.3 states/eV/f.u.
calculated formation energy = 104 meV per atom

| no. | electronic total energy (eV/atom) |
| --- | --- |
| 1 | -3.77 |
| 2 | -4.30 |
| 3 | -4.66 |